Entry 1:
! Dy2YHg2 (PBE, relaxed); values from VASP
&SYSTEM
  ibrav = 0, nat = 5, ntyp = 3
/
ATOMIC_SPECIES
Dy 162.50 Dy.upf
Y 88.91 Y.upf
Hg 200.59 Hg.upf
ATOMIC_POSITIONS crystal
Dy 0.333 0.667 0.159
Dy 0.667 0.333 0.841
Y 0.000 0.000 0.500
Hg 0.333 0.667 0.674
Hg 0.667 0.333 0.326
CELL_PARAMETERS angstrom
5.154 0.000 0.000
-2.577 4.464 0.000
0.000 0.000 6.347
! ΔE to the lowest computed polymorph (eV/atom): 0.146
! V (Å³ per atom): 29.21
! Total moment (Bohr magnetons per cell): 0.0
! Energy of formation (meV per atom): -252
! SG: No. 164

---

Entry 2:
! CsSn2GeF (PBE, relaxed); values from VASP
&SYSTEM
  ibrav = 0, nat = 5, ntyp = 4
/
ATOMIC_SPECIES
Cs 132.91 Cs.upf
Sn 118.71 Sn.upf
Ge 72.64 Ge.upf
F 19.00 F.upf
ATOMIC_POSITIONS crystal
Cs 0.000 0.000 0.000
Sn 0.000 0.500 0.500
Sn 0.500 0.000 0.500
Ge 0.500 0.500 0.000
F 0.000 0.000 0.500
CELL_PARAMETERS angstrom
5.140 0.000 0.000
0.000 5.140 0.000
0.000 0.000 5.467
! V (Å³ per atom): 28.89
! E_form (uncorrected) (eV/atom): -0.293
! Total moment (Bohr magnetons per cell): 0.0
! SG: No. 123

---

Look up the total moment of the first one.
0.0 Bohr magnetons per cell